Record 1
Below is a relaxed Pm2PH crystal, with properties calculated at the PBE level.

Output
Energy above the lowest structure with this stoichiometry ... 0 kJ/mol of formula units
Energy ... -5.519 eV per atom
Density of states at the Fermi level ... 3.88 states/eV/cell

Cell lengths 3.9952, 3.9952, 18.4011 Å; angles 90.00, 90.00, 120.00 degrees
Space group R-3m (No. 166, hexagonal axes)
Asymmetric unit:
1 Pm 0.0000 0.0000 0.2471 x6
2 P 0.0000 0.0000 0.0000 x3
3 H 0.0000 0.0000 0.5000 x3

***

Record 2
Below is a relaxed PmPH crystal, with properties calculated at the PBE level.

Output
Energy above the lowest structure with this stoichiometry ... 0 kJ/mol of formula units
Energy ... -5.316 eV per atom
Density of states at the Fermi level ... 3.27 states/eV/cell

Cell lengths 5.8659, 5.8901, 8.0855 Å; angles 90.00, 133.23, 90.00 degrees
Space group P2_1/c (No. 14)
Asymmetric unit:
1 Pm 0.2501 0.2495 0.2481 x4
2 P 0.2482 0.7428 0.7436 x4
3 H 0.2546 0.6076 0.4080 x4

***

Record 3
Below is a relaxed Pm2PH crystal, with properties calculated at the PBE level.

Output
Energy above the lowest structure with this stoichiometry ... 44 kJ/mol of formula units
Energy ... -5.406 eV per atom
Density of states at the Fermi level ... 3.71 states/eV/cell

Cell lengths 3.8708, 3.8708, 20.0131 Å; angles 90.00, 90.00, 120.00 degrees
Space group R3m (No. 160, hexagonal axes)
Asymmetric unit:
1 Pm 0.0000 0.0000 0.0000 x3
2 Pm 0.0000 0.0000 0.1684 x3
3 P 0.0000 0.0000 0.5851 x3
4 H 0.0000 0.0000 0.7606 x3

***

Record 4
Below is a relaxed Pm2PH2 crystal, with properties calculated at the PBE level.

Output
Energy above the lowest structure with this stoichiometry ... 0 kJ/mol of formula units
Energy ... -5.239 eV per atom
Density of states at the Fermi level ... 5.81 states/eV/cell

Cell lengths 3.9821, 3.9821, 13.3970 Å; angles 90.00, 90.00, 120.00 degrees
Space group P6_3/mmc (No. 194)
Asymmetric unit:
1 Pm 0.3333 0.6667 0.1154 x4
2 P 0.0000 0.0000 0.2500 x2
3 H 0.3333 0.6667 0.5592 x4

***

Record 5
Below is a relaxed PmPH crystal, with properties calculated at the PBE level.

Output
Energy above the lowest structure with this stoichiometry ... 83 kJ/mol of formula units
Energy ... -5.031 eV per atom
Density of states at the Fermi level ... 3.42 states/eV/cell

Cell lengths 3.6994, 3.5860, 7.3212 Å; angles 90.00, 90.00, 90.00 degrees
Space group Pmc2_1 (No. 26)
Asymmetric unit:
1 Pm 0.0000 0.0016 0.0000 x2
2 P 0.5000 0.4316 0.7494 x2
3 H 0.5000 0.1518 0.2481 x2

***

Record 6
Below is a relaxed PmPH crystal, with properties calculated at the PBE level.

Output
Energy above the lowest structure with this stoichiometry ... 73 kJ/mol of formula units
Energy ... -5.065 eV per atom
Density of states at the Fermi level ... 3.14 states/eV/cell

Cell lengths 3.9830, 3.9830, 6.9935 Å; angles 90.00, 90.00, 90.00 degrees
Space group I4mm (No. 107)
Asymmetric unit:
1 Pm 0.0000 0.0000 0.0000 x2
2 P 0.0000 0.0000 0.4055 x2
3 H 0.0000 0.0000 0.6284 x2

***

Record 7
Below is a relaxed PmPH2 crystal, with properties calculated at the PBE level.

Output
Energy above the lowest structure with this stoichiometry ... 91 kJ/mol of formula units
Energy ... -4.526 eV per atom
Density of states at the Fermi level ... 4.25 states/eV/cell

Cell lengths 5.8521, 5.8521, 5.8521 Å; angles 90.00, 90.00, 90.00 degrees
Space group Fm-3m (No. 225)
Asymmetric unit:
1 Pm 0.0000 0.0000 0.0000 x4
2 P 0.0000 0.0000 0.5000 x4
3 H 0.2500 0.2500 0.2500 x8

***

Record 8
Below is a relaxed PmPH crystal, with properties calculated at the PBE level.

Output
Energy above the lowest structure with this stoichiometry ... 41 kJ/mol of formula units
Energy ... -5.175 eV per atom
Density of states at the Fermi level ... 7.46 states/eV/cell

Cell lengths 5.8320, 5.8320, 5.8320 Å; angles 90.00, 90.00, 90.00 degrees
Space group F-43m (No. 216)
Asymmetric unit:
1 Pm 0.0000 0.0000 0.0000 x4
2 P 0.0000 0.0000 0.5000 x4
3 H 0.2500 0.2500 0.2500 x4

***

Record 9
Below is a relaxed PmPH crystal, with properties calculated at the PBE level.

Output
Energy above the lowest structure with this stoichiometry ... 39 kJ/mol of formula units
Energy ... -5.182 eV per atom
Density of states at the Fermi level ... 1.77 states/eV/cell

Cell lengths 3.8254, 3.8254, 4.1185 Å; angles 90.00, 90.00, 120.00 degrees
Space group P-6m2 (No. 187)
Asymmetric unit:
1 Pm 0.0000 0.0000 0.0000 x1
2 P 0.3333 0.6667 0.5000 x1
3 H 0.6667 0.3333 0.0000 x1

***

Record 10
Below is a relaxed Pm3PH crystal, with properties calculated at the PBE level.

Output
Energy ... -5.050 eV per atom
Density of states at the Fermi level ... 4.24 states/eV/cell

Cell lengths 4.7356, 4.7356, 4.7356 Å; angles 90.00, 90.00, 90.00 degrees
Space group Pm-3m (No. 221)
Asymmetric unit:
1 Pm 0.0000 0.0000 0.5000 x3
2 P 0.5000 0.5000 0.5000 x1
3 H 0.0000 0.0000 0.0000 x1

***

Record 11
Below is a relaxed Pm6P5H crystal, with properties calculated at the PBE level.

Output
Energy ... -6.294 eV per atom
Density of states at the Fermi level ... 5.69 states/eV/cell

Cell lengths 7.0861, 12.2556, 7.0918 Å; angles 90.00, 109.48, 90.00 degrees
Space group C2/m (No. 12)
Asymmetric unit:
1 Pm 0.2433 0.0000 0.2571 x4
2 Pm 0.2448 0.1709 0.7468 x8
3 P 0.0000 0.0000 0.5000 x2
4 P 0.0000 0.1666 0.0000 x4
5 P 0.0000 0.3335 0.5000 x4
6 H 0.0000 0.5000 0.0000 x2

***

Record 12
Below is a relaxed Pm2PH crystal, with properties calculated at the PBE level.

Output
Energy above the lowest structure with this stoichiometry ... 100 kJ/mol of formula units
Energy ... -5.259 eV per atom
Density of states at the Fermi level ... 11.30 states/eV/cell

Cell lengths 6.8247, 6.8247, 6.8247 Å; angles 90.00, 90.00, 90.00 degrees
Space group Fm-3m (No. 225)
Asymmetric unit:
1 Pm 0.2500 0.2500 0.2500 x8
2 P 0.0000 0.0000 0.0000 x4
3 H 0.0000 0.0000 0.5000 x4

***

Record 13
Below is a relaxed PmPH2 crystal, with properties calculated at the PBE level.

Output
Energy above the lowest structure with this stoichiometry ... 0 kJ/mol of formula units
Energy ... -4.762 eV per atom

Cell lengths 4.1599, 4.1599, 10.5612 Å; angles 90.00, 90.00, 120.00 degrees
Space group R-3m (No. 166, hexagonal axes)
Asymmetric unit:
1 Pm 0.0000 0.0000 0.0000 x3
2 P 0.0000 0.0000 0.5000 x3
3 H 0.0000 0.0000 0.3375 x6

***

Record 14
Below is a relaxed Pm2P2H crystal, with properties calculated at the PBE level.

Output
Energy ... -5.799 eV per atom
Density of states at the Fermi level ... 9.56 states/eV/cell

Cell lengths 5.8606, 11.6760, 5.8242 Å; angles 90.00, 90.00, 90.00 degrees
Space group Ibam (No. 72)
Asymmetric unit:
1 Pm 0.2371 0.1186 0.0000 x8
2 P 0.2323 0.3662 0.0000 x8
3 H 0.0000 0.0000 0.2500 x4

***

Record 15
Below is a relaxed Pm2PH2 crystal, with properties calculated at the PBE level.

Output
Energy above the lowest structure with this stoichiometry ... 31 kJ/mol of formula units
Energy ... -5.176 eV per atom
Density of states at the Fermi level ... 18.27 states/eV/cell

Cell lengths 7.7151, 9.2496, 9.9671 Å; angles 90.00, 90.00, 90.00 degrees
Space group Fddd (No. 70, origin choice 2)
Asymmetric unit:
1 Pm 0.1250 0.1250 0.3479 x16
2 P 0.1250 0.1250 0.6250 x8
3 H 0.1250 0.0049 0.1250 x16

***

Record 16
Below is a relaxed PmP2H crystal, with properties calculated at the PBE level.

Output
Energy ... -5.317 eV per atom
Density of states at the Fermi level ... 1.39 states/eV/cell

Cell lengths 3.4974, 3.4974, 4.9844 Å; angles 90.00, 90.00, 90.00 degrees
Space group P4/mmm (No. 123)
Asymmetric unit:
1 Pm 0.0000 0.0000 0.0000 x1
2 P 0.0000 0.5000 0.5000 x2
3 H 0.5000 0.5000 0.0000 x1

***

Record 17
Below is a relaxed PmPrPH crystal, with properties calculated at the PBE level.

Output
Energy ... -5.546 eV per atom
Density of states at the Fermi level ... 15.27 states/eV/cell

Cell lengths 4.0283, 4.0283, 39.2711 Å; angles 90.00, 90.00, 120.00 degrees
Space group R-3m (No. 166, hexagonal axes)
Asymmetric unit:
1 Pm 0.0000 0.0000 0.1244 x6
2 Pr 0.0000 0.0000 0.2902 x6
3 P 0.0000 0.0000 0.0000 x3
4 P 0.0000 0.0000 0.5000 x3
5 H 0.0000 0.0000 0.2293 x6

***

Record 18
Below is a relaxed PmPuPH crystal, with properties calculated at the PBE level.

Output
Energy ... -7.535 eV per atom
Density of states at the Fermi level ... 34.17 states/eV/cell

Cell lengths 6.7604, 6.7604, 6.7604 Å; angles 90.00, 90.00, 90.00 degrees
Space group F-43m (No. 216)
Asymmetric unit:
1 Pm 0.0000 0.0000 0.0000 x4
2 Pu 0.0000 0.0000 0.5000 x4
3 P 0.2500 0.2500 0.7500 x4
4 H 0.2500 0.2500 0.2500 x4

***

Record 19
Below is a relaxed Pm2P2HRh2 crystal, with properties calculated at the PBE level.

Output
Energy ... -6.502 eV per atom
Density of states at the Fermi level ... 8.55 states/eV/cell

Cell lengths 10.7108, 4.0502, 6.8514 Å; angles 90.00, 127.42, 90.00 degrees
Space group C2/m (No. 12)
Asymmetric unit:
1 Pm 0.0605 0.0000 0.3080 x4
2 P 0.1796 0.5000 0.7135 x4
3 H 0.0000 0.5000 0.0000 x2
4 Rh 0.2027 0.5000 0.0890 x4

***

Record 20
Below is a relaxed PmPHRu crystal, with properties calculated at the PBE level.

Output
Energy ... -6.654 eV per atom
Density of states at the Fermi level ... 4.34 states/eV/cell

Cell lengths 4.0169, 4.0169, 7.6062 Å; angles 90.00, 90.00, 90.00 degrees
Space group P4/nmm (No. 129, origin choice 2)
Asymmetric unit:
1 Pm 0.2500 0.2500 0.1694 x2
2 P 0.2500 0.2500 0.6606 x2
3 H 0.2500 0.7500 0.0000 x2
4 Ru 0.2500 0.7500 0.5000 x2